# Nd2ScSi2 | Alexandria | PBE-GGA | optimized geometry
# D(E_F) in states/eV/f.u.: 4.948
# Total DFT energy (no corrections) in eV/atom: -6.019
# Formation energy from raw total energies in meV/atom: -676.6
# Total moment in Bohr magnetons per cell: 0.0
# Polymorph energy (0 for the lowest one) in meV/atom: 35
data_Nd2ScSi2
_cell_length_a 4.2564
_cell_length_b 5.9830
_cell_length_c 5.9829
_cell_angle_alpha 60.73
_cell_angle_beta 69.16
_cell_angle_gamma 69.16
_symmetry_space_group_name_H-M 'P 1'
_symmetry_Int_Tables_number 1
loop_
_symmetry_equiv_pos_as_xyz
'x,y,z'
loop_
_atom_site_label
_atom_site_fract_x
_atom_site_fract_y
_atom_site_fract_z
Si1 0.0000 0.2055 0.2944
Nd1 0.2952 0.2049 0.7048
Nd2 0.7048 0.7951 0.2952
Sc1 0.5000 0.5000 0.0000
Si2 0.0000 0.7945 0.7056